# Pr6Mg2In3, optimized geometry, DFT PBE
# - M_tot: 0.01 μB per cell
# - ρ: 5.44 g cm⁻³
# - N(E_F): 1.2059 states/eV per atom
# - DFT formation energy: 77 kJ/mol of formula units
data_Pr6Mg2In3
_chemical_formula_sum 'Pr12 Mg4 In6'
_symmetry_space_group_name_H-M 'I 4/m m m'
_symmetry_Int_Tables_number 139
_symmetry_space_group_name_Hall '-I 4 2'
_cell_length_a 5.787
_cell_length_b 5.787
_cell_length_c 22.554
_cell_angle_alpha 90.00
_cell_angle_beta 90.00
_cell_angle_gamma 90.00
loop_
_atom_site_label
_atom_site_type_symbol
_atom_site_fract_x
_atom_site_fract_y
_atom_site_fract_z
Pr1 Pr 0.000 0.000 0.202
Pr2 Pr 0.000 0.500 0.091
Mg1 Mg 0.000 0.000 0.057
In1 In 0.000 0.000 0.341
In2 In 0.000 0.000 0.500

# Y2Hg2Pb, optimized geometry, DFT PBE
# - Energy above the most stable polymorph in this dataset: 98 meV per atom
# - M_tot: 0.00 μB per cell
# - ρ: 9.31 g cm⁻³
# - N(E_F): 0.7165 states/eV per atom
# - DFT formation energy: -157 kJ/mol of formula units
data_Y2Hg2Pb
_chemical_formula_sum 'Y4 Hg4 Pb2'
_symmetry_space_group_name_H-M 'P 4/m b m'
_symmetry_Int_Tables_number 127
_symmetry_space_group_name_Hall '-P 4 2ab'
_cell_length_a 8.492
_cell_length_b 8.492
_cell_length_c 3.888
_cell_angle_alpha 90.00
_cell_angle_beta 90.00
_cell_angle_gamma 90.00
loop_
_atom_site_label
_atom_site_type_symbol
_atom_site_fract_x
_atom_site_fract_y
_atom_site_fract_z
Y1 Y 0.160 0.340 0.000
Hg1 Hg 0.139 0.639 0.500
Pb1 Pb 0.000 0.000 0.000

# LiPtSe2, optimized geometry, DFT PBE
# - M_tot: 0.00 μB per cell
# - ρ: 7.82 g cm⁻³
# - Raw formation energy: -0.7 eV/f.u.
# - N(E_F): 0.6047 states/eV per atom
data_LiPtSe2
_chemical_formula_sum 'Li1 Pt1 Se2'
_symmetry_space_group_name_H-M 'P 4 m m'
_symmetry_Int_Tables_number 99
_cell_length_a 2.914
_cell_length_b 2.914
_cell_length_c 9.000
_cell_angle_alpha 90.00
_cell_angle_beta 90.00
_cell_angle_gamma 90.00
loop_
_symmetry_equiv_pos_as_xyz
'x,y,z'
'-y,x,z'
'-x,-y,z'
'y,-x,z'
'-x,y,z'
'y,x,z'
'x,-y,z'
'-y,-x,z'
loop_
_atom_site_label
_atom_site_type_symbol
_atom_site_fract_x
_atom_site_fract_y
_atom_site_fract_z
Li1 Li 0.000 0.000 0.000
Pt1 Pt 0.500 0.500 0.228
Se1 Se 0.000 0.000 0.413
Se2 Se 0.500 0.500 0.796

M_tot of number 3 (LiPtSe2)? 0.00 μB per cell

Which of these has the highest N(E_F)? Pr6Mg2In3

Which formula does entry 2 have? Y2Hg2Pb